# GdHoScHg (PBE-GGA, relaxed)
# Energy of formation, eV/atom: -0.087
# Electronic total energy, eV/atom: -6.410
# Magnetic moment, μB/f.u.: 7.9
data_GdHoScHg
_chemical_formula_sum 'Gd4 Ho4 Sc4 Hg4'
_cell_length_a 7.5172
_cell_length_b 7.5172
_cell_length_c 7.5172
_cell_angle_alpha 90.00
_cell_angle_beta 90.00
_cell_angle_gamma 90.00
_space_group_name_H-M_alt 'P 1'
_space_group_IT_number 1
loop_
_space_group_symop_operation_xyz
'x,y,z'
loop_
_atom_site_label
_atom_site_type_symbol
_atom_site_fract_x
_atom_site_fract_y
_atom_site_fract_z
Gd1 Gd 0.0000 0.0000 0.0000
Gd2 Gd 0.0000 0.5000 0.5000
Gd3 Gd 0.5000 0.0000 0.5000
Gd4 Gd 0.5000 0.5000 0.0000
Ho1 Ho 0.0000 0.0000 0.5000
Ho2 Ho 0.0000 0.5000 0.0000
Ho3 Ho 0.5000 0.0000 0.0000
Ho4 Ho 0.5000 0.5000 0.5000
Sc1 Sc 0.2500 0.2500 0.2500
Sc2 Sc 0.2500 0.7500 0.7500
Sc3 Sc 0.7500 0.2500 0.7500
Sc4 Sc 0.7500 0.7500 0.2500
Hg1 Hg 0.2500 0.2500 0.7500
Hg2 Hg 0.2500 0.7500 0.2500
Hg3 Hg 0.7500 0.2500 0.2500
Hg4 Hg 0.7500 0.7500 0.7500



# Pm12NdEr7 (PBE-GGA, relaxed)
# Energy of formation, eV/atom: 0.681
# Electronic total energy, eV/atom: -4.004
# Energy above the lowest structure with this stoichiometry, eV/atom: 0.525
# Magnetic moment, μB/f.u.: 0.0
data_Pm12NdEr7
_chemical_formula_sum 'Pm12 Nd1 Er7'
_cell_length_a 9.9824
_cell_length_b 9.9824
_cell_length_c 9.9824
_cell_angle_alpha 109.47
_cell_angle_beta 109.47
_cell_angle_gamma 109.47
_space_group_name_H-M_alt 'P 1'
_space_group_IT_number 1
loop_
_space_group_symop_operation_xyz
'x,y,z'
loop_
_atom_site_label
_atom_site_type_symbol
_atom_site_fract_x
_atom_site_fract_y
_atom_site_fract_z
Pm1 Pm 0.0015 0.7452 0.2563
Pm2 Pm 0.2548 0.2563 0.5111
Pm3 Pm 0.2548 0.7437 0.9985
Pm4 Pm 0.2563 0.0015 0.7452
Pm5 Pm 0.2563 0.5111 0.2548
Pm6 Pm 0.4889 0.7452 0.7437
Pm7 Pm 0.5111 0.2548 0.2563
Pm8 Pm 0.7437 0.4889 0.7452
Pm9 Pm 0.7437 0.9985 0.2548
Pm10 Pm 0.7452 0.2563 0.0015
Pm11 Pm 0.7452 0.7437 0.4889
Pm12 Pm 0.9985 0.2548 0.7437
Nd1 Nd 0.0000 0.0000 0.0000
Er1 Er 0.0000 0.0000 0.5000
Er2 Er 0.0000 0.5000 0.0000
Er3 Er 0.0000 0.5000 0.5000
Er4 Er 0.5000 0.0000 0.0000
Er5 Er 0.5000 0.0000 0.5000
Er6 Er 0.5000 0.5000 0.0000
Er7 Er 0.5000 0.5000 0.5000



# Tb6AlS5 (PBE-GGA, relaxed)
# Energy relative to the elements, uncorrected, eV per atom: -1.701
# Electronic total energy, eV/atom: -6.048
# Magnetic moment, μB/f.u.: 0.0
data_Tb6AlS5
_chemical_formula_sum 'Tb6 Al1 S5'
_cell_length_a 6.9067
_cell_length_b 6.9067
_cell_length_c 6.9014
_cell_angle_alpha 99.58
_cell_angle_beta 99.58
_cell_angle_gamma 119.72
_space_group_name_H-M_alt 'P 1'
_space_group_IT_number 1
loop_
_space_group_symop_operation_xyz
'x,y,z'
loop_
_atom_site_label
_atom_site_type_symbol
_atom_site_fract_x
_atom_site_fract_y
_atom_site_fract_z
Tb1 Tb 0.0782 0.4161 0.7475
Tb2 Tb 0.2460 0.2460 0.2511
Tb3 Tb 0.4161 0.0782 0.7475
Tb4 Tb 0.5839 0.9218 0.2525
Tb5 Tb 0.7540 0.7540 0.7489
Tb6 Tb 0.9218 0.5839 0.2525
Al1 Al 0.5000 0.5000 0.0000
S1 S 0.0000 0.0000 0.5000
S2 S 0.1666 0.8334 0.0000
S3 S 0.3339 0.6661 0.5000
S4 S 0.6661 0.3339 0.5000
S5 S 0.8334 0.1666 0.0000



# MnRe2HgP (PBE-GGA, relaxed)
# Energy of formation, eV/atom: 0.735
# Electronic total energy, eV/atom: -7.220
# Magnetic moment, μB/f.u.: 1.6
data_MnRe2HgP
_chemical_formula_sum 'Mn1 Re2 Hg1 P1'
_cell_length_a 4.4420
_cell_length_b 4.4420
_cell_length_c 4.2446
_cell_angle_alpha 90.00
_cell_angle_beta 90.00
_cell_angle_gamma 90.00
_space_group_name_H-M_alt 'P 1'
_space_group_IT_number 1
loop_
_space_group_symop_operation_xyz
'x,y,z'
loop_
_atom_site_label
_atom_site_type_symbol
_atom_site_fract_x
_atom_site_fract_y
_atom_site_fract_z
Mn1 Mn 0.0000 0.0000 0.0000
Re1 Re 0.0000 0.5000 0.5000
Re2 Re 0.5000 0.0000 0.5000
Hg1 Hg 0.5000 0.5000 0.0000
P1 P 0.0000 0.0000 0.5000



# K2TaCuI6 (PBE-GGA, relaxed)
# Energy relative to the elements, uncorrected, eV per atom: -0.569
# Electronic total energy, eV/atom: -3.313
# Magnetic moment, μB/f.u.: 2.0
data_K2TaCuI6
_chemical_formula_sum 'K2 Ta1 Cu1 I6'
_cell_length_a 8.0919
_cell_length_b 8.0919
_cell_length_c 8.0919
_cell_angle_alpha 60.00
_cell_angle_beta 60.00
_cell_angle_gamma 60.00
_space_group_name_H-M_alt 'P 1'
_space_group_IT_number 1
loop_
_space_group_symop_operation_xyz
'x,y,z'
loop_
_atom_site_label
_atom_site_type_symbol
_atom_site_fract_x
_atom_site_fract_y
_atom_site_fract_z
K1 K 0.2500 0.2500 0.2500
K2 K 0.7500 0.7500 0.7500
Ta1 Ta 0.0000 0.0000 0.0000
Cu1 Cu 0.5000 0.5000 0.5000
I1 I 0.2492 0.2492 0.7508
I2 I 0.2492 0.7508 0.2492
I3 I 0.2492 0.7508 0.7508
I4 I 0.7508 0.2492 0.2492
I5 I 0.7508 0.2492 0.7508
I6 I 0.7508 0.7508 0.2492



# NdTmO3 (PBE-GGA, relaxed)
# Energy relative to the elements, uncorrected, eV per atom: -3.084
# Electronic total energy, eV/atom: -7.906
# Magnetic moment, μB/f.u.: 0.0
data_NdTmO3
_chemical_formula_sum 'Nd2 Tm2 O6'
_cell_length_a 7.0218
_cell_length_b 7.0218
_cell_length_c 4.0973
_cell_angle_alpha 90.00
_cell_angle_beta 90.00
_cell_angle_gamma 130.72
_space_group_name_H-M_alt 'P 1'
_space_group_IT_number 1
loop_
_space_group_symop_operation_xyz
'x,y,z'
loop_
_atom_site_label
_atom_site_type_symbol
_atom_site_fract_x
_atom_site_fract_y
_atom_site_fract_z
Nd1 Nd 0.1602 0.8398 0.0000
Nd2 Nd 0.8398 0.1602 0.0000
Tm1 Tm 0.3806 0.6194 0.5000
Tm2 Tm 0.6194 0.3806 0.5000
O1 O 0.0000 0.5000 0.5000
O2 O 0.2322 0.2322 0.5000
O3 O 0.3352 0.6648 0.0000
O4 O 0.5000 0.0000 0.5000
O5 O 0.6648 0.3352 0.0000
O6 O 0.7678 0.7678 0.5000